(1)
The following is a PBE-GGA calculation of an optimized crystal structure of CoReGe3, from Alexandria via LeMat-Bulk.

a = 4.817 Å, b = 4.817 Å, c = 4.817 Å
α = 90.00°, β = 90.00°, γ = 90.00°
Space group Pm-3m (No. 221)
Symmetry-distinct sites (fractional):
Co 0.000 0.000 0.000 x1
Re 0.500 0.500 0.500 x1
Ge 0.000 0.500 0.500 x3

total energy	-28.8	eV for the cell shown
formation energy	0.91	eV/atom

---

(2)
The following is a PBE-GGA calculation of an optimized crystal structure of TiFeH3, from Alexandria via LeMat-Bulk.

a = 3.428 Å, b = 3.428 Å, c = 3.428 Å
α = 90.00°, β = 90.00°, γ = 90.00°
Space group Pm-3m (No. 221)
Symmetry-distinct sites (fractional):
Ti 0.000 0.000 0.000 x1
Fe 0.500 0.500 0.500 x1
H 0.000 0.000 0.500 x3

total energy	-25.5	eV for the cell shown

---

(3)
The following is a PBE-GGA calculation of an optimized crystal structure of VCr2Rh2, from Alexandria via LeMat-Bulk.

a = 3.803 Å, b = 3.803 Å, c = 10.004 Å
α = 90.00°, β = 90.00°, γ = 90.00°
Space group I4/mmm (No. 139)
Symmetry-distinct sites (fractional):
V 0.000 0.000 0.000 x2
Cr 0.000 0.000 0.404 x4
Rh 0.000 0.500 0.250 x4

total energy	-82.9	eV for the cell shown
formation energy	0.32	eV/atom

---

Q: Among the records above, which one has the lowest total energy?
A: VCr2Rh2

---

Q: The lowest total energy belongs to which entry?
A: VCr2Rh2

---

Repeat the first record exactly.
The following is a PBE-GGA calculation of an optimized crystal structure of CoReGe3, from Alexandria via LeMat-Bulk.

a = 4.817 Å, b = 4.817 Å, c = 4.817 Å
α = 90.00°, β = 90.00°, γ = 90.00°
Space group Pm-3m (No. 221)
Symmetry-distinct sites (fractional):
Co 0.000 0.000 0.000 x1
Re 0.500 0.500 0.500 x1
Ge 0.000 0.500 0.500 x3

total energy	-28.8	eV for the cell shown
formation energy	0.91	eV/atom

---

Q: The lowest total energy belongs to which entry?
A: VCr2Rh2